# 1
! Pm2TlAuO5 GGA-PBE optimized geometry; values from VASP
&SYSTEM
  ibrav = 0, nat = 18, ntyp = 4
/
ATOMIC_SPECIES
Pm 145.00 Pm.upf
Tl 204.38 Tl.upf
Au 196.97 Au.upf
O 16.00 O.upf
ATOMIC_POSITIONS crystal
Pm 0.5000 0.6782 0.1782
Pm 0.5000 0.1782 0.3219
Pm 0.5000 0.8218 0.6782
Pm 0.5000 0.3219 0.8218
Tl 0.0000 0.5000 0.5000
Tl 0.0000 0.0000 0.0000
Au 0.0000 0.0000 0.5000
Au 0.0000 0.5000 0.0000
O 0.5000 0.5000 0.5000
O 0.5000 0.0000 0.0000
O 0.2620 0.1319 0.6319
O 0.2620 0.8681 0.3681
O 0.2620 0.3681 0.1319
O 0.2620 0.6319 0.8681
O 0.7380 0.1319 0.6319
O 0.7380 0.6319 0.8681
O 0.7380 0.8681 0.3681
O 0.7380 0.3681 0.1319
CELL_PARAMETERS angstrom
5.9914 0.0000 0.0000
0.0000 6.8411 0.0000
0.0000 0.0000 6.8411
! - Symmetry: P4/mbm (127)
! - Density: 9.14 Mg/m³
! - Final energy: -6.44 eV per atom
! - Formation energy without anion corrections: -2.0040 eV per atom

# 2
! PmTmAu2O8 GGA-PBE optimized geometry; values from VASP
&SYSTEM
  ibrav = 0, nat = 12, ntyp = 4
/
ATOMIC_SPECIES
Pm 145.00 Pm.upf
Tm 168.93 Tm.upf
Au 196.97 Au.upf
O 16.00 O.upf
ATOMIC_POSITIONS crystal
Pm 0.0000 0.0000 0.0000
Tm 0.7500 0.2500 0.5000
Au 0.5000 0.5000 0.0000
Au 0.2500 0.7500 0.5000
O 0.8696 0.8594 0.2561
O 0.3865 0.3966 0.2561
O 0.6033 0.6136 0.7437
O 0.1405 0.1301 0.7437
O 0.8699 0.3967 0.2563
O 0.3864 0.8595 0.2563
O 0.1406 0.6135 0.7439
O 0.6034 0.1304 0.7439
CELL_PARAMETERS angstrom
-5.1151 -1.5247 -0.3478
1.5637 -4.9687 -1.2153
1.7987 1.9999 5.9083
! - Symmetry: I-4m2 (119)
! - Density: 9.20 Mg/m³
! - Final energy: -5.70 eV per atom
! - Formation energy without anion corrections: -1.0807 eV per atom

# 3
! PmYAu2O8 GGA-PBE optimized geometry; values from VASP
&SYSTEM
  ibrav = 0, nat = 12, ntyp = 4
/
ATOMIC_SPECIES
Pm 145.00 Pm.upf
Y 88.91 Y.upf
Au 196.97 Au.upf
O 16.00 O.upf
ATOMIC_POSITIONS crystal
Pm 0.0000 0.0000 0.0000
Y 0.7500 0.2500 0.5000
Au 0.5000 0.5000 0.0000
Au 0.2500 0.7500 0.5000
O 0.8716 0.8557 0.2536
O 0.3821 0.3979 0.2536
O 0.6020 0.6180 0.7463
O 0.1443 0.1283 0.7463
O 0.8717 0.3980 0.2537
O 0.3820 0.8557 0.2537
O 0.1443 0.6179 0.7464
O 0.6021 0.1284 0.7464
CELL_PARAMETERS angstrom
5.3830 0.0000 0.0000
0.0000 5.3830 0.0000
-2.6915 -2.6915 5.2874
! - Symmetry: I-4m2 (119)
! - Density: 8.19 Mg/m³
! - Final energy: -5.84 eV per atom
! - Formation energy without anion corrections: -1.0543 eV per atom

# 4
! PmZnAuO4 GGA-PBE optimized geometry; values from VASP
&SYSTEM
  ibrav = 0, nat = 14, ntyp = 4
/
ATOMIC_SPECIES
Pm 145.00 Pm.upf
Zn 65.41 Zn.upf
Au 196.97 Au.upf
O 16.00 O.upf
ATOMIC_POSITIONS crystal
Pm 0.5000 0.0000 0.5000
Pm 0.5000 0.0000 0.0000
Zn 0.9247 0.8494 0.1747
Zn 0.0753 0.1506 0.8253
Au 0.5000 0.5000 0.5000
Au 0.0000 0.5000 0.5000
O 0.7311 0.4622 0.6618
O 0.2335 0.9125 0.2062
O 0.6790 0.9125 0.2062
O 0.7311 0.4622 0.3003
O 0.2689 0.5378 0.6997
O 0.7665 0.0875 0.7938
O 0.3210 0.0875 0.7938
O 0.2689 0.5378 0.3382
CELL_PARAMETERS angstrom
6.3285 0.0000 0.0000
-3.1642 6.3370 -0.3763
0.0000 -3.7553 6.1758
! - Symmetry: Imma (74)
! - Density: 6.56 Mg/m³
! - Final energy: -5.66 eV per atom
! - Formation energy without anion corrections: -1.5010 eV per atom

# 5
! Pr3AuO GGA-PBE optimized geometry; values from VASP
&SYSTEM
  ibrav = 0, nat = 20, ntyp = 3
/
ATOMIC_SPECIES
Pr 140.91 Pr.upf
Au 196.97 Au.upf
O 16.00 O.upf
ATOMIC_POSITIONS crystal
Pr 0.0894 0.7102 0.6437
Pr 0.9106 0.2898 0.3563
Pr 0.5894 0.7898 0.8563
Pr 0.4106 0.2102 0.1437
Pr 0.5930 0.6435 0.4512
Pr 0.4070 0.3565 0.5488
Pr 0.0930 0.8565 0.0488
Pr 0.9070 0.1435 0.9512
Pr 0.1141 0.5921 0.2298
Pr 0.8859 0.4079 0.7702
Pr 0.6141 0.9079 0.2702
Pr 0.3859 0.0921 0.7298
Au 0.8376 0.9950 0.5971
Au 0.1624 0.0050 0.4029
Au 0.3376 0.5050 0.9029
Au 0.6624 0.4950 0.0971
O 0.2453 0.4682 0.3901
O 0.7547 0.5318 0.6099
O 0.7453 0.0318 0.1099
O 0.2547 0.9682 0.8901
CELL_PARAMETERS angstrom
6.4583 0.0000 0.0000
0.0000 8.8940 -0.8439
0.0000 -4.1906 9.0275
! - Symmetry: P2_1/c (14)
! - Density: 8.52 Mg/m³
! - Final energy: -5.79 eV per atom
! - Formation energy without anion corrections: -1.2797 eV per atom

# 6
! Pr2AuO GGA-PBE optimized geometry; values from VASP
&SYSTEM
  ibrav = 0, nat = 4, ntyp = 3
/
ATOMIC_SPECIES
Pr 140.91 Pr.upf
Au 196.97 Au.upf
O 16.00 O.upf
ATOMIC_POSITIONS crystal
Pr 0.7323 0.7323 0.8031
Pr 0.2677 0.2677 0.1969
Au 0.5000 0.5000 0.5000
O 0.0000 0.0000 0.0000
CELL_PARAMETERS angstrom
-1.2531 -1.2577 -3.4452
-1.9904 -3.3166 -0.2454
-7.0296 1.9797 -0.3459
! - Symmetry: R-3m (166)
! - Density: 9.07 Mg/m³
! - Final energy: -6.01 eV per atom
! - Formation energy without anion corrections: -1.5621 eV per atom

Which formula does entry 3 have?
PmYAu2O8